# PrHg4Pd2

Crystalline PrHg4Pd2 at its relaxed geometry (GGA-PBE, Alexandria via LeMat-Bulk).

## Properties
calculated total energy: -2.626 eV/atom
calculated formation energy: -0.287 eV/atom
D(E_F): 4.049 states/eV per cell

Lattice parameters (Å, degrees): 4.483 18.313 4.002 90.00 90.00 90.00
Space group Cmmm (No. 65)
Inequivalent atoms, fractional coordinates:
Pr: 0.000 0.000 0.000 (multiplicity 2)
Hg: 0.000 0.164 0.500 (multiplicity 4)
Hg: 0.000 0.313 0.000 (multiplicity 4)
Pd: 0.000 0.429 0.500 (multiplicity 4)

=====

# LaCeGa6

Crystalline LaCeGa6 at its relaxed geometry (GGA-PBE, Alexandria via LeMat-Bulk).

## Properties
calculated total energy: -4.202 eV/atom
calculated formation energy: -0.574 eV/atom
D(E_F): 6.104 states/eV per cell

Lattice parameters (Å, degrees): 6.4961 6.4961 4.6082 90.00 90.00 120.00
Space group P-6m2 (No. 187)
Inequivalent atoms, fractional coordinates:
La: 0.0000 0.0000 0.0000 (multiplicity 1)
Ce: 0.3333 0.6667 0.5000 (multiplicity 1)
Ga: 0.3834 0.1917 0.5000 (multiplicity 3)
Ga: 0.5223 0.0447 0.0000 (multiplicity 3)

=====

# Tm3NiTe

Crystalline Tm3NiTe at its relaxed geometry (GGA-PBE, Alexandria via LeMat-Bulk).

## Properties
calculated total energy: -5.152 eV/atom
formation energy from raw total energies: -0.68 eV per atom
relative energy among the computed polymorphs: 0.0 meV per atom
D(E_F): 15.100 states/eV per cell

Lattice parameters (Å, degrees): 11.338 3.939 11.285 90.00 90.00 90.00
Space group Pnma (No. 62)
Inequivalent atoms, fractional coordinates:
Tm: 0.039 0.250 0.175 (multiplicity 4)
Tm: 0.115 0.750 0.552 (multiplicity 4)
Tm: 0.224 0.250 0.781 (multiplicity 4)
Ni: 0.006 0.750 0.331 (multiplicity 4)
Te: 0.174 0.750 0.002 (multiplicity 4)

=====

# CeThOsS

Crystalline CeThOsS at its relaxed geometry (GGA-PBE, Alexandria via LeMat-Bulk).

## Properties
calculated total energy: -8.094 eV/atom
formation energy from raw total energies: -0.92 eV per atom
D(E_F): 10.431 states/eV per cell

Lattice parameters (Å, degrees): 3.9764 3.9764 21.8469 90.00 90.00 120.00
Space group R3m (No. 160, hexagonal axes)
Inequivalent atoms, fractional coordinates:
Ce: 0.0000 0.0000 0.0000 (multiplicity 3)
Th: 0.0000 0.0000 0.1839 (multiplicity 3)
Os: 0.0000 0.0000 0.5957 (multiplicity 3)
S: 0.0000 0.0000 0.4223 (multiplicity 3)

=====

# LiMg2Ir

Crystalline LiMg2Ir at its relaxed geometry (GGA-PBE, Alexandria via LeMat-Bulk).

## Properties
calculated total energy: -3.596 eV/atom
calculated formation energy: -0.105 eV/atom
D(E_F): 7.391 states/eV per cell

Lattice parameters (Å, degrees): 2.9580 2.9580 27.8633 90.00 90.00 120.00
Space group R-3m (No. 166, hexagonal axes)
Inequivalent atoms, fractional coordinates:
Li: 0.0000 0.0000 0.0000 (multiplicity 3)
Mg: 0.0000 0.0000 0.2424 (multiplicity 6)
Ir: 0.0000 0.0000 0.5000 (multiplicity 3)

=====

# Ac4Sn3O4

Crystalline Ac4Sn3O4 at its relaxed geometry (GGA-PBE, Alexandria via LeMat-Bulk).

## Properties
calculated total energy: -6.645 eV/atom
formation energy from raw total energies: -2.26 eV per atom
D(E_F): 9.485 states/eV per cell

Lattice parameters (Å, degrees): 8.669 4.246 15.929 90.00 90.00 90.00
Space group Amm2 (No. 38)
Inequivalent atoms, fractional coordinates:
Ac: 0.000 0.000 0.000 (multiplicity 2)
Ac: 0.240 0.000 0.664 (multiplicity 4)
Ac: 0.500 0.000 0.015 (multiplicity 2)
Sn: 0.000 0.000 0.302 (multiplicity 2)
Sn: 0.322 0.000 0.355 (multiplicity 4)
O: 0.000 0.000 0.579 (multiplicity 2)
O: 0.245 0.000 0.083 (multiplicity 4)
O: 0.500 0.000 0.598 (multiplicity 2)

=====

# CeEr3Sb3

Crystalline CeEr3Sb3 at its relaxed geometry (GGA-PBE, Alexandria via LeMat-Bulk).

## Properties
calculated total energy: -5.340 eV/atom
formation energy from raw total energies: -0.77 eV per atom
D(E_F): 18.079 states/eV per cell

Lattice parameters (Å, degrees): 9.0301 9.0301 5.6655 90.00 90.00 120.00
Space group P6_3/m (No. 176)
Inequivalent atoms, fractional coordinates:
Ce: 0.3333 0.6667 0.2500 (multiplicity 2)
Er: 0.0160 0.2495 0.2500 (multiplicity 6)
Sb: 0.0605 0.4244 0.7500 (multiplicity 6)

=====

# CuTcB

Crystalline CuTcB at its relaxed geometry (GGA-PBE, Alexandria via LeMat-Bulk).

## Properties
calculated total energy: -7.013 eV/atom
calculated formation energy: 0.033 eV/atom
relative energy among the computed polymorphs: 126.7 meV per atom
D(E_F): 6.168 states/eV per cell

Lattice parameters (Å, degrees): 3.010 3.498 12.117 90.00 90.00 90.00
Space group Immm (No. 71)
Inequivalent atoms, fractional coordinates:
Cu: 0.000 0.000 0.000 (multiplicity 2)
Cu: 0.000 0.000 0.500 (multiplicity 2)
Tc: 0.000 0.500 0.178 (multiplicity 4)
B: 0.000 0.500 0.357 (multiplicity 4)